# PBE-GGA Sc2AsSe, relaxed
data_Sc2AsSe
_chemical_formula_sum 'Sc2 As1 Se1'
_cell_length_a 4.8034
_cell_length_b 4.8034
_cell_length_c 4.8034
_cell_angle_alpha 60.00
_cell_angle_beta 60.00
_cell_angle_gamma 60.00
_symmetry_space_group_name_H-M 'P 1'
_symmetry_Int_Tables_number 1
_symmetry_space_group_name_Hall 'P 1'
loop_
_atom_site_label
_atom_site_type_symbol
_atom_site_fract_x
_atom_site_fract_y
_atom_site_fract_z
_atom_site_occupancy
Se1 Se 0.5000 0.5000 0.5000 1
Sc1 Sc 0.7500 0.7500 0.7500 1
Sc2 Sc 0.2500 0.2500 0.2500 1
As1 As 0.0000 0.0000 0.0000 1
# total magnetic moment: 0.90 μB per cell
# space-group type: Fm-3m, No. 225
# crystal system: cubic
# formation energy (no corrections): -4.40 eV per formula unit
# density of states at the Fermi level: 4.25 states/eV/f.u.
# polymorph energy (0 for the lowest one): 0.455 eV per atom
# ρ: 5.17 g/cm³